Record 1
The following is a GGA-PBE calculation of a relaxed NdTmCuIr crystal, from Alexandria.

Output
* space group: No. 216
* spin magnetization: 0.0 μB per formula unit
* E_form: -0.51 eV per atom
* DOS at the Fermi energy: 2.52 states/eV per cell
* raw total energy: -24.242 eV per cell

Unit cell a=4.928 b=4.928 c=4.928 alpha=60.00 beta=60.00 gamma=60.00
Fractional coordinates of all 4 atoms:
Ir: 0.000 0.000 0.000
Nd: 0.750 0.750 0.750
Cu: 0.500 0.500 0.500
Tm: 0.250 0.250 0.250

=====

Record 2
The following is a GGA-PBE calculation of a relaxed NdTmCuIr crystal, from Alexandria.

Output
* space group: No. 38
* spin magnetization: 0.0 μB per formula unit
* E_form: -0.53 eV per atom
* DOS at the Fermi energy: 3.18 states/eV per cell
* raw total energy: -24.316 eV per cell

Unit cell a=3.882 b=4.318 c=5.642 alpha=90.00 beta=110.12 gamma=90.00
Fractional coordinates of all 4 atoms:
Ir: 0.421 0.000 0.842
Cu: 0.570 0.500 0.141
Nd: 0.144 0.000 0.287
Tm: 0.865 0.500 0.730

=====

Record 3
The following is a GGA-PBE calculation of a relaxed NdZn3CuIr crystal, from Alexandria.

Output
* space group: No. 63
* spin magnetization: 0.0 μB per formula unit
* E_form: -0.19 eV per atom
* DOS at the Fermi energy: 6.06 states/eV per cell
* raw total energy: -45.353 eV per cell

Unit cell a=5.497 b=6.092 c=7.060 alpha=115.56 beta=90.00 gamma=90.00
Fractional coordinates of all 12 atoms:
Cu: 0.750 0.063 0.126
Ir: 0.750 0.655 0.310
Zn: 0.500 0.297 0.000
Nd: 0.750 0.283 0.566
Ir: 0.250 0.345 0.690
Zn: 0.500 0.703 0.000
Zn: 0.750 0.859 0.719
Zn: 0.250 0.141 0.281
Nd: 0.250 0.717 0.434
Cu: 0.250 0.937 0.874
Zn: 0.000 0.703 0.000
Zn: 0.000 0.297 0.000

=====

Record 4
The following is a GGA-PBE calculation of a relaxed Nd2Zn12Cu3Ir crystal, from Alexandria.

Output
* space group: No. 166
* spin magnetization: 0.0 μB per formula unit
* E_form: -0.06 eV per atom
* DOS at the Fermi energy: 9.86 states/eV per cell
* raw total energy: -47.019 eV per cell

Unit cell a=11.704 b=11.704 c=11.704 alpha=28.51 beta=28.51 gamma=28.51
Fractional coordinates of all 18 atoms:
Zn: 0.146 0.599 0.599
Zn: 0.390 0.892 0.892
Zn: 0.401 0.854 0.401
Zn: 0.599 0.599 0.146
Zn: 0.108 0.108 0.610
Nd: 0.358 0.358 0.358
Zn: 0.892 0.892 0.390
Nd: 0.642 0.642 0.642
Ir: 0.000 0.000 0.000
Zn: 0.401 0.401 0.854
Cu: 0.000 0.500 0.000
Cu: 0.000 0.000 0.500
Zn: 0.610 0.108 0.108
Zn: 0.854 0.401 0.401
Zn: 0.599 0.146 0.599
Zn: 0.108 0.610 0.108
Cu: 0.500 0.000 0.000
Zn: 0.892 0.390 0.892